Material: Dy2ErSc3P6
Method: DFT, GGA-PBE
State: relaxed

Computed properties:
SG   No. 12
DFT total energy   -83.7 eV per cell
Calculated formation energy   -1.54 eV/atom

Lattice parameters (Å, degrees): 6.7221 6.7221 6.7010 99.61 99.61 120.00
With the nearest neighbours (Å) after each atom.
Atoms (fractional coordinates):
Dy 0.3334 0.6666 0.0000  6 P 2.80
Dy 0.6666 0.3334 0.0000  6 P 2.80
Er 0.0000 0.0000 0.0000  6 P 2.79
Sc 0.1670 0.8330 0.5000  6 P 2.69
Sc 0.8330 0.1670 0.5000  6 P 2.69
Sc 0.5000 0.5000 0.5000  6 P 2.69-2.70
P 0.9119 0.5799 0.7356  3 Sc 2.69, 1 Er 2.79, 2 Dy 2.80
P 0.7563 0.7563 0.2646  3 Sc 2.69-2.70, 1 Er 2.79, 2 Dy 2.80
P 0.0881 0.4201 0.2644  3 Sc 2.69, 1 Er 2.79, 2 Dy 2.80
P 0.5799 0.9119 0.7356  3 Sc 2.69, 1 Er 2.79, 2 Dy 2.80
P 0.2437 0.2437 0.7354  3 Sc 2.69-2.70, 1 Er 2.79, 2 Dy 2.80
P 0.4201 0.0881 0.2644  3 Sc 2.69, 1 Er 2.79, 2 Dy 2.80

***

Material: DyEr2Sc3P6
Method: DFT, GGA-PBE
State: relaxed

Computed properties:
SG   No. 12
DFT total energy   -83.6 eV per cell
Calculated formation energy   -1.54 eV/atom

Lattice parameters (Å, degrees): 6.7102 6.7102 6.6905 99.61 99.61 120.00
With the nearest neighbours (Å) after each atom.
Atoms (fractional coordinates):
Dy 0.0000 0.0000 0.0000  6 P 2.79-2.80
Er 0.3333 0.6667 0.0000  6 P 2.78
Er 0.6667 0.3333 0.0000  6 P 2.78
Sc 0.1663 0.8337 0.5000  6 P 2.68-2.69
Sc 0.8337 0.1663 0.5000  6 P 2.68-2.69
Sc 0.5000 0.5000 0.5000  6 P 2.68-2.69
P 0.9121 0.5774 0.7363  3 Sc 2.68-2.69, 2 Er 2.78, 1 Dy 2.80
P 0.7531 0.7531 0.2636  3 Sc 2.68-2.69, 2 Er 2.78, 1 Dy 2.79
P 0.0879 0.4226 0.2637  3 Sc 2.68-2.69, 2 Er 2.78, 1 Dy 2.80
P 0.5774 0.9121 0.7363  3 Sc 2.68-2.69, 2 Er 2.78, 1 Dy 2.80
P 0.2469 0.2469 0.7364  3 Sc 2.68-2.69, 2 Er 2.78, 1 Dy 2.79
P 0.4226 0.0879 0.2637  3 Sc 2.68-2.69, 2 Er 2.78, 1 Dy 2.80

***

Material: DyEr2ScP4
Method: DFT, GGA-PBE
State: relaxed

Computed properties:
SG   No. 10
DFT total energy   -54.2 eV per cell
Calculated formation energy   -1.57 eV/atom

Lattice parameters (Å, degrees): 3.9316 6.8011 6.8039 109.47 90.00 90.00
With the nearest neighbours (Å) after each atom.
Atoms (fractional coordinates):
Dy 0.5000 0.5000 0.0000  6 P 2.79
Er 0.5000 0.0000 0.5000  6 P 2.77
Er 0.0000 0.5000 0.5000  6 P 2.82
Sc 0.0000 0.0000 0.0000  6 P 2.73
P 0.5000 0.2411 0.2427  2 Sc 2.73, 3 Er 2.77-2.82, 1 Dy 2.79
P 0.5000 0.7589 0.7573  2 Sc 2.73, 3 Er 2.77-2.82, 1 Dy 2.79
P 0.0000 0.2443 0.7524  1 Sc 2.73, 3 Er 2.77-2.82, 2 Dy 2.79
P 0.0000 0.7557 0.2476  1 Sc 2.73, 3 Er 2.77-2.82, 2 Dy 2.79

***

Material: Sm2DyErP4
Method: DFT, GGA-PBE
State: relaxed

Computed properties:
SG   No. 10
DFT total energy   -53.0 eV per cell
Calculated formation energy   -1.59 eV/atom

Lattice parameters (Å, degrees): 4.0502 7.0116 7.0085 109.47 90.00 90.00
With the nearest neighbours (Å) after each atom.
Atoms (fractional coordinates):
Sm 0.5000 0.0000 0.5000  6 P 2.89-2.90
Sm 0.0000 0.5000 0.5000  6 P 2.89
Dy 0.0000 0.0000 0.0000  6 P 2.84
Er 0.5000 0.5000 0.0000  6 P 2.83
P 0.5000 0.2488 0.2431  1 Er 2.83, 2 Dy 2.84, 3 Sm 2.89
P 0.5000 0.7512 0.7569  1 Er 2.83, 2 Dy 2.84, 3 Sm 2.89
P 0.0000 0.2536 0.7577  2 Er 2.83, 1 Dy 2.84, 3 Sm 2.89-2.90
P 0.0000 0.7464 0.2423  2 Er 2.83, 1 Dy 2.84, 3 Sm 2.89-2.90

***

Material: SmDyEr2P4
Method: DFT, GGA-PBE
State: relaxed

Computed properties:
SG   No. 10
DFT total energy   -52.9 eV per cell
Calculated formation energy   -1.60 eV/atom

Lattice parameters (Å, degrees): 4.0152 6.9492 6.9509 70.53 90.00 90.00
With the nearest neighbours (Å) after each atom.
Atoms (fractional coordinates):
Sm 0.5000 0.5000 0.0000  6 P 2.87
Dy 0.0000 0.5000 0.5000  6 P 2.85
Er 0.0000 0.0000 0.0000  6 P 2.83
Er 0.5000 0.0000 0.5000  6 P 2.81
P 0.0000 0.7565 0.7450  3 Er 2.81-2.83, 1 Dy 2.85, 2 Sm 2.87
P 0.0000 0.2435 0.2550  3 Er 2.81-2.83, 1 Dy 2.85, 2 Sm 2.87
P 0.5000 0.7545 0.2512  3 Er 2.81-2.83, 2 Dy 2.85, 1 Sm 2.87
P 0.5000 0.2455 0.7488  3 Er 2.81-2.83, 2 Dy 2.85, 1 Sm 2.87

***

Material: Tb2Dy3ErP6
Method: DFT, GGA-PBE
State: relaxed

Computed properties:
SG   No. 12
DFT total energy   -79.4 eV per cell
Calculated formation energy   -1.61 eV/atom

Lattice parameters (Å, degrees): 6.9408 6.9408 6.9417 99.58 99.58 119.99
With the nearest neighbours (Å) after each atom.
Atoms (fractional coordinates):
Tb 0.3335 0.6665 0.0000  6 P 2.84
Tb 0.6665 0.3335 0.0000  6 P 2.84
Dy 0.1671 0.8329 0.5000  6 P 2.83-2.84
Dy 0.8329 0.1671 0.5000  6 P 2.83-2.84
Dy 0.5000 0.5000 0.5000  6 P 2.83-2.84
Er 0.0000 0.0000 0.0000  6 P 2.82
P 0.9167 0.5853 0.7501  1 Er 2.82, 3 Dy 2.83-2.84, 2 Tb 2.84
P 0.7522 0.7522 0.2504  1 Er 2.82, 3 Dy 2.83-2.84, 2 Tb 2.84
P 0.0833 0.4147 0.2499  1 Er 2.82, 3 Dy 2.83-2.84, 2 Tb 2.84
P 0.5853 0.9167 0.7501  1 Er 2.82, 3 Dy 2.83-2.84, 2 Tb 2.84
P 0.2478 0.2478 0.7496  1 Er 2.82, 3 Dy 2.83-2.84, 2 Tb 2.84
P 0.4147 0.0833 0.2499  1 Er 2.82, 3 Dy 2.83-2.84, 2 Tb 2.84